P:
VASP calculation (PBE) on an optimized crystal structure of MnTlI2N.

**V**: 26.6 Å³/atom
**SG**: P4/mmm, No. 123

```
MnTlI2N
1.0
-4.368 -2.199 -3.475
4.023 -1.234 -4.276
0.525 -3.352 1.461
I Tl Mn N
2 1 1 1
direct
0.000 0.500 0.000 I
0.500 0.000 0.000 I
0.500 0.500 0.500 Tl
0.000 0.000 0.000 Mn
0.000 0.000 0.500 N
```

Q:
VASP calculation (PBE) on an optimized crystal structure of MnTlI2N.

**V**: 33.1 Å³/atom
**SG**: P4/mmm, No. 123

```
MnTlI2N
1.0
-2.675 3.713 4.266
-0.689 -4.898 3.831
3.797 0.790 1.693
I Tl Mn N
2 1 1 1
direct
0.000 0.500 0.000 I
0.500 0.000 0.000 I
0.000 0.000 0.000 Tl
0.500 0.500 0.500 Mn
0.000 0.000 0.500 N
```

Stability ranking, top entry: P; the second entry is 1.085 eV/atom less favorable.

P:
VASP calculation (PBE) on an optimized crystal structure of MnVI2N.

**V**: 23.2 Å³/atom
**SG**: P4/mmm, No. 123

```
MnVI2N
1.0
5.617 0.000 0.000
0.000 5.617 0.000
0.000 0.000 3.684
I N Mn V
2 1 1 1
direct
0.000 0.500 0.000 I
0.500 0.000 0.000 I
0.000 0.000 0.500 N
0.500 0.500 0.500 Mn
0.000 0.000 0.000 V
```

Q:
VASP calculation (PBE) on an optimized crystal structure of MnVI2N.

**V**: 20.5 Å³/atom
**SG**: P4/mmm, No. 123

```
MnVI2N
1.0
5.395 0.000 0.000
0.000 5.395 0.000
0.000 0.000 3.518
I N Mn V
2 1 1 1
direct
0.000 0.500 0.000 I
0.500 0.000 0.000 I
0.000 0.000 0.500 N
0.000 0.000 0.000 Mn
0.500 0.500 0.500 V
```

Stability ranking, top entry: P; the second entry is 0.452 eV/atom less favorable.